Entry 1:
VASP calculation (PBE-GGA) on an optimized crystal structure of Ac2FeCo.

a b c (Å): 4.1057 4.1059 8.0757
angles (deg): 75.62 75.63 59.98
Last column: magnetic moment on the atom in μB.
Atoms (fractional coordinates):
Co: 0.7917 0.7917 0.6248  0.93
Fe: 0.4582 0.4582 0.6255  1.97
Ac: 0.0400 0.0400 0.8880  -0.03
Ac: 0.2101 0.2101 0.3616  -0.03

Values from the calculation:
The calculation puts the energy of formation at 3 meV/atom.

---

Entry 2:
VASP calculation (PBE-GGA) on an optimized crystal structure of Ac6FeCo.

a b c (Å): 7.0931 7.0931 13.6730
angles (deg): 90.00 90.00 120.00
Atoms (fractional coordinates):
Ac: 0.3260 0.3337 0.3766
Ac: 0.3337 0.3260 0.8766
Ac: 0.6740 0.6663 0.6234
Ac: 0.9924 0.6663 0.8766
Ac: 0.0076 0.3337 0.1234
Ac: 0.6663 0.6740 0.1234
Ac: 0.9924 0.3260 0.6234
Ac: 0.6740 0.0076 0.8766
Ac: 0.3337 0.0076 0.6234
Ac: 0.0076 0.6740 0.3766
Ac: 0.6663 0.9924 0.3766
Ac: 0.3260 0.9924 0.1234
Fe: 0.0000 0.0000 0.5000
Fe: 0.0000 0.0000 0.0000
Co: 0.3333 0.6667 0.2500
Co: 0.6667 0.3333 0.7500

Values from the calculation:
The calculation puts the energy of formation at 58 meV/atom.

---

Entry 3:
VASP calculation (PBE-GGA) on an optimized crystal structure of AcFeCoGe3.

a b c (Å): 6.2794 6.6237 6.5515
angles (deg): 120.37 90.00 90.00
Last column: magnetic moment on the atom in μB.
Atoms (fractional coordinates):
Ge: 0.5000 0.2586 0.0000  -0.02
Ge: 0.7500 0.7553 0.5107  -0.03
Ge: 0.2500 0.2447 0.4893  -0.03
Ge: 0.0000 0.2586 0.0000  -0.02
Ge: 0.5000 0.7414 0.0000  -0.02
Ge: 0.0000 0.7414 0.0000  -0.02
Co: 0.2500 0.4384 0.8768  -0.07
Co: 0.7500 0.5616 0.1232  -0.07
Fe: 0.7500 0.9512 0.9024  1.39
Fe: 0.2500 0.0488 0.0976  1.39
Ac: 0.2500 0.7520 0.5041  0.01
Ac: 0.7500 0.2480 0.4959  0.01

Values from the calculation:
The calculation puts the energy of formation at -296 meV/atom.

---

Entry 4:
VASP calculation (PBE-GGA) on an optimized crystal structure of AcFeCoP2.

a b c (Å): 3.7792 3.7792 6.4720
angles (deg): 106.98 106.98 90.00
Atoms (fractional coordinates):
Ac: 0.0000 0.0000 0.0000
P: 0.3482 0.3482 0.6965
P: 0.6518 0.6518 0.3035
Co: 0.2500 0.7500 0.5000
Fe: 0.7500 0.2500 0.5000

Values from the calculation:
The calculation puts the energy of formation at -940 meV/atom.

---

Entry 5:
VASP calculation (PBE-GGA) on an optimized crystal structure of AcFeCoSi3.

a b c (Å): 6.1960 6.1297 6.4238
angles (deg): 118.50 90.00 90.00
Last column: magnetic moment on the atom in μB.
Atoms (fractional coordinates):
Fe: 0.2500 0.0381 0.0762  1.08
Fe: 0.7500 0.9619 0.9238  1.08
Co: 0.2500 0.4128 0.8256  -0.03
Co: 0.7500 0.5872 0.1744  -0.03
Si: 0.5000 0.2806 0.0000  -0.01
Si: 0.5000 0.7194 0.0000  -0.01
Si: 0.7500 0.7744 0.5488  -0.02
Si: 0.2500 0.2256 0.4512  -0.02
Si: 0.0000 0.2806 0.0000  -0.01
Si: 0.0000 0.7194 0.0000  -0.01
Ac: 0.7500 0.2456 0.4912  0.01
Ac: 0.2500 0.7544 0.5088  0.01

Values from the calculation:
The formation energy (no corrections) comes out at -392 meV/atom.

---

Entry 6:
VASP calculation (PBE-GGA) on an optimized crystal structure of AcFeCoSi2.

a b c (Å): 4.0378 4.0378 6.0395
angles (deg): 109.53 109.53 90.00
Atoms (fractional coordinates):
Co: 0.2500 0.7500 0.5000
Si: 0.6499 0.6499 0.2998
Si: 0.3501 0.3501 0.7002
Ac: 0.0000 0.0000 0.0000
Fe: 0.7500 0.2500 0.5000

Values from the calculation:
The formation energy (no corrections) comes out at -592 meV/atom.

---

Entry 7:
VASP calculation (PBE-GGA) on an optimized crystal structure of AcGa9Co2.

a b c (Å): 7.5261 8.2978 8.2978
angles (deg): 78.13 63.03 63.03
Atoms (fractional coordinates):
Ga: 0.7280 0.5779 0.8225
Ga: 0.0000 0.0000 0.0000
Ga: 0.0220 0.6775 0.9221
Ga: 0.0559 0.9221 0.3225
Ga: 0.3005 0.6775 0.0779
Ga: 0.6941 0.5779 0.1775
Ga: 0.4495 0.4221 0.8225
Ga: 0.0220 0.9221 0.6775
Ga: 0.7280 0.8225 0.5779
Ga: 0.0559 0.3225 0.9221
Ga: 0.1284 0.4221 0.1775
Ga: 0.6216 0.3225 0.0779
Ga: 0.3005 0.0779 0.6775
Ga: 0.7500 0.5000 0.5000
Ga: 0.1284 0.1775 0.4221
Ga: 0.4495 0.8225 0.4221
Ga: 0.6941 0.1775 0.5779
Ga: 0.6216 0.0779 0.3225
Ac: 0.2500 0.5000 0.5000
Ac: 0.5000 0.0000 0.0000
Co: 0.8750 0.2500 0.2500
Co: 0.8750 0.7500 0.2500
Co: 0.8750 0.2500 0.7500
Co: 0.3750 0.7500 0.7500

Values from the calculation:
The calculation puts the energy of formation at -253 meV/atom.

---

Entry 8:
VASP calculation (PBE-GGA) on an optimized crystal structure of AcGa3Co.

a b c (Å): 4.2540 8.5593 10.9124
angles (deg): 90.00 90.00 90.00
Atoms (fractional coordinates):
Co: 0.2500 0.5958 0.8500
Co: 0.7500 0.4042 0.1500
Co: 0.7500 0.9042 0.3500
Co: 0.2500 0.0958 0.6500
Ga: 0.7500 0.4477 0.9207
Ga: 0.2500 0.8658 0.7740
Ga: 0.2500 0.5523 0.0793
Ga: 0.7500 0.1264 0.7770
Ga: 0.2500 0.3658 0.7260
Ga: 0.7500 0.9477 0.5793
Ga: 0.2500 0.3736 0.2770
Ga: 0.2500 0.0523 0.4207
Ga: 0.7500 0.6264 0.7230
Ga: 0.7500 0.1342 0.2260
Ga: 0.7500 0.6342 0.2740
Ga: 0.2500 0.8736 0.2230
Ac: 0.2500 0.6865 0.5055
Ac: 0.2500 0.1865 0.9945
Ac: 0.7500 0.3135 0.4945
Ac: 0.7500 0.8135 0.0055

Values from the calculation:
The calculation puts the energy of formation at -425 meV/atom.

---

Entry 9:
VASP calculation (PBE-GGA) on an optimized crystal structure of AcGa4Co.

a b c (Å): 4.1142 7.3187 7.7128
angles (deg): 90.00 90.00 90.00
Atoms (fractional coordinates):
Ga: 0.5000 0.7181 0.4292
Ga: 0.0000 0.0000 0.0000
Ga: 0.5000 0.9518 0.7500
Ga: 0.5000 0.2819 0.5708
Ga: 0.5000 0.0482 0.2500
Ga: 0.5000 0.7181 0.0708
Ga: 0.5000 0.2819 0.9292
Ga: 0.0000 0.0000 0.5000
Ac: 0.0000 0.6100 0.7500
Ac: 0.0000 0.3900 0.2500
Co: 0.0000 0.8233 0.2500
Co: 0.0000 0.1767 0.7500

Values from the calculation:
The calculation puts the energy of formation at -441 meV/atom.

---

Entry 10:
VASP calculation (PBE-GGA) on an optimized crystal structure of Ac4GaCo.

a b c (Å): 6.7275 7.4275 8.6690
angles (deg): 90.00 109.19 90.00
Atoms (fractional coordinates):
Ac: 0.5411 0.2500 0.4061
Ac: 0.9869 0.4978 0.2760
Ac: 0.4589 0.7500 0.5939
Ac: 0.4325 0.7500 0.1259
Ac: 0.5675 0.2500 0.8741
Ac: 0.0131 0.5022 0.7240
Ac: 0.0131 0.9978 0.7240
Ac: 0.9869 0.0022 0.2760
Ga: 0.8059 0.7500 0.9515
Ga: 0.1941 0.2500 0.0485
Co: 0.7784 0.7500 0.4429
Co: 0.2216 0.2500 0.5571

Values from the calculation:
The calculation puts the energy of formation at -129 meV/atom.

---

Entry 11:
VASP calculation (PBE-GGA) on an optimized crystal structure of Ac2GaCo.

a b c (Å): 4.1138 4.1138 10.1613
angles (deg): 78.32 78.32 60.00
Atoms (fractional coordinates):
Ac: 0.1130 0.1130 0.6610
Ac: 0.8870 0.8870 0.3390
Co: 0.5000 0.5000 0.5000
Ga: 0.0000 0.0000 0.0000

Values from the calculation:
The calculation puts the energy of formation at 188 meV/atom.

---

Entry 12:
VASP calculation (PBE-GGA) on an optimized crystal structure of AcGa2Co2.

a b c (Å): 4.1531 4.5410 5.6153
angles (deg): 105.03 111.70 90.00
Last column: magnetic moment on the atom in μB.
Atoms (fractional coordinates):
Co: 0.2526 0.8583 0.5053  0.50
Co: 0.7474 0.1417 0.4947  0.50
Ga: 0.3431 0.4144 0.6862  -0.02
Ga: 0.6569 0.5856 0.3138  -0.02
Ac: 0.0000 0.0000 0.0000  -0.03

Values from the calculation:
The calculation puts the energy of formation at -322 meV/atom.

---

Entry 13:
VASP calculation (PBE-GGA) on an optimized crystal structure of AcGa2Co2.

a b c (Å): 4.2395 4.2395 5.9593
angles (deg): 110.80 110.80 90.06
Atoms (fractional coordinates):
Ac: 0.0000 0.0000 0.5000
Ga: 0.3571 0.3571 0.2140
Ga: 0.6429 0.6429 0.7860
Co: 0.7502 0.2498 0.0000
Co: 0.2498 0.7502 0.0000

Values from the calculation:
The calculation puts the energy of formation at -351 meV/atom.

---

Entry 14:
VASP calculation (PBE-GGA) on an optimized crystal structure of Ac12Ga6Co.

a b c (Å): 9.0876 9.0876 9.0876
angles (deg): 99.05 99.05 99.05
Atoms (fractional coordinates):
Ac: 0.1862 0.4286 0.5726
Ac: 0.5714 0.4274 0.8138
Ac: 0.9353 0.0211 0.6861
Ac: 0.5726 0.1862 0.4286
Ac: 0.9789 0.3139 0.0647
Ac: 0.0211 0.6861 0.9353
Ac: 0.6861 0.9353 0.0211
Ac: 0.4274 0.8138 0.5714
Ac: 0.0647 0.9789 0.3139
Ac: 0.8138 0.5714 0.4274
Ac: 0.4286 0.5726 0.1862
Ac: 0.3139 0.0647 0.9789
Ga: 0.3039 0.1291 0.6371
Ga: 0.3629 0.6961 0.8709
Ga: 0.1291 0.6371 0.3039
Ga: 0.6961 0.8709 0.3629
Ga: 0.8709 0.3629 0.6961
Ga: 0.6371 0.3039 0.1291
Co: 0.0000 0.0000 0.0000

Values from the calculation:
The calculation puts the energy of formation at -163 meV/atom.

---

Entry 15:
VASP calculation (PBE-GGA) on an optimized crystal structure of Ac3GaCo.

a b c (Å): 8.9451 8.9451 9.0973
angles (deg): 89.68 89.68 26.32
Last column: magnetic moment on the atom in μB.
Atoms (fractional coordinates):
Co: 0.2723 0.2723 0.5343  0.92
Co: 0.7277 0.7277 0.4657  0.92
Ac: 0.7495 0.7495 0.8047  -0.03
Ac: 0.1049 0.1049 0.5540  -0.05
Ac: 0.5411 0.5411 0.1852  0.00
Ac: 0.2505 0.2505 0.1953  -0.03
Ac: 0.4589 0.4589 0.8148  0.00
Ac: 0.8951 0.8951 0.4460  -0.05
Ga: 0.8898 0.8898 0.0758  0.00
Ga: 0.1102 0.1102 0.9242  0.00

Values from the calculation:
The calculation puts the energy of formation at -173 meV/atom.

---

Entry 16:
VASP calculation (PBE-GGA) on an optimized crystal structure of AcGa11Co.

a b c (Å): 5.1962 7.8495 6.7515
angles (deg): 83.64 67.37 73.27
Atoms (fractional coordinates):
Ga: 0.9593 0.3731 0.6578
Ga: 0.4881 0.2450 0.7802
Ga: 0.7316 0.7550 0.7802
Ga: 0.2684 0.2450 0.2198
Ga: 0.0000 0.5000 0.0000
Ga: 0.0407 0.6269 0.3422
Ga: 0.0000 0.0000 0.5000
Ga: 0.3829 0.6269 0.6578
Ga: 0.5000 0.0000 0.5000
Ga: 0.6171 0.3731 0.3422
Ga: 0.5119 0.7550 0.2198
Ac: 0.0000 0.0000 0.0000
Co: 0.5000 0.5000 0.0000

Values from the calculation:
The calculation puts the energy of formation at -178 meV/atom.

---

Entry 17:
VASP calculation (PBE-GGA) on an optimized crystal structure of AcGa2Co.

a b c (Å): 4.3734 4.3262 9.2457
angles (deg): 103.53 90.00 90.00
Atoms (fractional coordinates):
Co: 0.5000 0.4320 0.8640
Co: 0.5000 0.5680 0.1360
Ac: 0.0000 0.1416 0.2831
Ac: 0.0000 0.8584 0.7169
Ga: 0.0000 0.5000 0.0000
Ga: 0.5000 0.2941 0.5882
Ga: 0.5000 0.7059 0.4118
Ga: 0.5000 0.0000 0.0000

Values from the calculation:
The calculation puts the energy of formation at -453 meV/atom.

---

Entry 18:
VASP calculation (PBE-GGA) on an optimized crystal structure of Ac4Ga2Co.

a b c (Å): 5.4092 5.4092 8.9682
angles (deg): 107.55 107.55 90.00
Atoms (fractional coordinates):
Ac: 0.1816 0.1816 0.3632
Ac: 0.5000 0.0000 0.0000
Ac: 0.8184 0.8184 0.6368
Ac: 0.0000 0.5000 0.0000
Co: 0.0000 0.0000 0.0000
Ga: 0.3733 0.3733 0.7466
Ga: 0.6267 0.6267 0.2534

Values from the calculation:
The calculation puts the energy of formation at -181 meV/atom.

---

Entry 19:
VASP calculation (PBE-GGA) on an optimized crystal structure of Ac4GaCo.

a b c (Å): 7.2921 7.7722 9.1639
angles (deg): 110.47 108.58 100.77
Atoms (fractional coordinates):
Ac: 0.4440 0.7178 0.9214
Ac: 0.2074 0.3644 0.4159
Ac: 0.0226 0.7963 0.0786
Ac: 0.2915 0.9485 0.5841
Ac: 0.7926 0.6356 0.5841
Ac: 0.7085 0.0515 0.4159
Ac: 0.9774 0.2037 0.9214
Ac: 0.5560 0.2822 0.0786
Ga: 0.3734 0.6234 0.2467
Ga: 0.6266 0.3766 0.7533
Co: 0.8285 0.0785 0.1570
Co: 0.1715 0.9215 0.8430

Values from the calculation:
The calculation puts the energy of formation at -119 meV/atom.

---

Entry 20:
VASP calculation (PBE-GGA) on an optimized crystal structure of Ac2GaCo.

a b c (Å): 3.7680 3.7680 7.8091
angles (deg): 90.00 90.00 90.00
Last column: magnetic moment on the atom in μB.
Atoms (fractional coordinates):
Ac: 0.0000 0.0000 0.7699  -0.09
Ac: 0.0000 0.0000 0.2301  -0.09
Ga: 0.5000 0.5000 0.5000  0.03
Co: 0.5000 0.5000 0.0000  1.19

Values from the calculation:
The calculation puts the energy of formation at -103 meV/atom.

---

For the records above, the corresponding total magnetic moment values read 2.9 0.0 1.3 0.0 1.0 0.0 0.0 0.0 0.0 0.0 0.0 0.9 0.0 0.0 0.7 0.0 0.0 0.0 0.0 0.8 μB/f.u..
For the records above, the corresponding calculated total energy values read -0.2184 -0.1826 -0.2162 -0.2587 -0.2346 -0.2461 -0.1488 -0.1648 -0.1591 -0.1674 -0.1617 -0.1910 -0.1920 -0.1502 -0.1714 -0.1324 -0.1753 -0.1620 -0.1671 -0.1724 hartree per atom.